Record 1
A plane-wave DFT calculation with PBE was carried out for a geometry-optimized Ac6Si2TeS3 structure.

It has space group C2/m (No. 12), with a = 19.455 Å, b = 4.508 Å, c = 8.983 Å, α = 90.00°, β = 101.80° and γ = 90.00°. The distinct sites, in fractional coordinates, are Ac at (0.003, 0.000, 0.271), Ac at (0.168, 0.500, 0.581), Ac at (0.174, 0.500, 0.095), Si at (0.166, 0.000, 0.332), Te at (0.000, 0.500, 0.000), S at (0.000, 0.500, 0.500) and S at (0.164, 0.000, 0.836).

The value obtained for the total magnetization is 0.0 Bohr magnetons per cell. For the formation energy (no corrections), the calculation gives -17.56 eV per formula unit. The final energy comes out at -68.58 eV/f.u.


Record 2
A plane-wave DFT calculation with PBE was carried out for a geometry-optimized Ac4SiTeS2 structure.

It has space group P2/m (No. 10), with a = 7.680 Å, b = 4.501 Å, c = 7.923 Å, α = 90.00°, β = 109.51° and γ = 90.00°. The distinct sites, in fractional coordinates, are Ac at (0.234, 0.000, 0.227), Ac at (0.245, 0.500, 0.763), Si at (0.500, 0.000, 0.000), Te at (0.500, 0.500, 0.500), S at (0.000, 0.000, 0.500) and S at (0.000, 0.500, 0.000).

The value obtained for the total magnetization is 0.0 Bohr magnetons per cell. For the formation energy (no corrections), the calculation gives -12.30 eV per formula unit. The final energy comes out at -45.55 eV/f.u.


Record 3
A plane-wave DFT calculation with PBE was carried out for a geometry-optimized Ac6SiTe3S2 structure.

It has space group C2/m (No. 12), with a = 7.800 Å, b = 13.508 Å, c = 8.151 Å, α = 90.00°, β = 108.57° and γ = 90.00°. The distinct sites, in fractional coordinates, are Ac at (0.239, 0.166, 0.218), Ac at (0.240, 0.500, 0.217), Si at (0.000, 0.000, 0.000), Te at (0.000, 0.166, 0.500), Te at (0.000, 0.500, 0.500) and S at (0.000, 0.333, 0.000).

The value obtained for the total magnetization is 0.0 Bohr magnetons per cell. For the formation energy (no corrections), the calculation gives -18.77 eV per formula unit. The final energy comes out at -66.52 eV/f.u.